No. 1
Computed, not measured: crystalline CrHgIr2 at its relaxed geometry at the PBEsol level of DFT.

Output
- energy of formation from the pure elements (meV/atom) = 531
- size of the total moment (μB/f.u.) = 0.00
- calculated total energy (eV/f.u.) = -28.3

The structure in CIF format:
```
data_CrHgIr2
_chemical_formula_sum 'Cr2 Hg2 Ir4'
_symmetry_space_group_name_H-M 'C m m 2'
_symmetry_Int_Tables_number 35
_symmetry_space_group_name_Hall 'C 2 -2'
_cell_length_a 2.750
_cell_length_b 4.709
_cell_length_c 9.316
_cell_angle_alpha 90.00
_cell_angle_beta 90.00
_cell_angle_gamma 90.00
loop_
_atom_site_label
_atom_site_type_symbol
_atom_site_fract_x
_atom_site_fract_y
_atom_site_fract_z
Cr1 Cr 0.000 0.000 0.000
Hg1 Hg 0.000 0.500 0.739
Ir1 Ir 0.000 0.000 0.470
Ir2 Ir 0.000 0.500 0.219
```

---

No. 2
Computed, not measured: crystalline YFe13 at its relaxed geometry at the PBEsol level of DFT.

Output
- energy of formation from the pure elements (meV/atom) = 86
- size of the total moment (μB/f.u.) = 29.05
- calculated total energy (eV/f.u.) = -122.1

The structure in CIF format:
```
data_YFe13
_chemical_formula_sum 'Y8 Fe104'
_symmetry_space_group_name_H-M 'F m -3 c'
_symmetry_Int_Tables_number 226
_symmetry_space_group_name_Hall '-F 4a 2 3'
_cell_length_a 11.220
_cell_length_b 11.220
_cell_length_c 11.220
_cell_angle_alpha 90.00
_cell_angle_beta 90.00
_cell_angle_gamma 90.00
loop_
_atom_site_label
_atom_site_type_symbol
_atom_site_fract_x
_atom_site_fract_y
_atom_site_fract_z
Y1 Y 0.250 0.250 0.250
Fe1 Fe 0.000 0.000 0.000
Fe2 Fe 0.000 0.118 0.181
```

---

No. 3
Computed, not measured: crystalline LaTe2Pb2 at its relaxed geometry at the PBEsol level of DFT.

Output
- size of the total moment (μB/f.u.) = 0.00
- ΔE_f (raw) (eV per atom) = -0.383
- calculated total energy (eV/f.u.) = -22.3

The structure in CIF format:
```
data_LaTe2Pb2
_chemical_formula_sum 'La2 Te4 Pb4'
_symmetry_space_group_name_H-M 'I 4/m m m'
_symmetry_Int_Tables_number 139
_symmetry_space_group_name_Hall '-I 4 2'
_cell_length_a 6.071
_cell_length_b 6.071
_cell_length_c 9.229
_cell_angle_alpha 90.00
_cell_angle_beta 90.00
_cell_angle_gamma 90.00
loop_
_atom_site_label
_atom_site_type_symbol
_atom_site_fract_x
_atom_site_fract_y
_atom_site_fract_z
La1 La 0.000 0.000 0.000
Te1 Te 0.000 0.500 0.250
Pb1 Pb 0.000 0.000 0.344
```

---

No. 4
Computed, not measured: crystalline Ta2SbRu at its relaxed geometry at the PBEsol level of DFT.

Output
- size of the total moment (μB/f.u.) = 0.00
- ΔE_f (raw) (eV per atom) = 0.058
- calculated total energy (eV/f.u.) = -39.6

The structure in CIF format:
```
data_Ta2SbRu
_chemical_formula_sum 'Ta4 Sb2 Ru2'
_symmetry_space_group_name_H-M 'C m m m'
_symmetry_Int_Tables_number 65
_symmetry_space_group_name_Hall '-C 2 2'
_cell_length_a 5.601
_cell_length_b 7.868
_cell_length_c 3.122
_cell_angle_alpha 90.00
_cell_angle_beta 90.00
_cell_angle_gamma 90.00
loop_
_atom_site_label
_atom_site_type_symbol
_atom_site_fract_x
_atom_site_fract_y
_atom_site_fract_z
Ta1 Ta 0.250 0.250 0.000
Sb1 Sb 0.000 0.000 0.500
Ru1 Ru 0.000 0.500 0.500
```

---

No. 5
Computed, not measured: crystalline CoRh2 at its relaxed geometry at the PBEsol level of DFT.

Output
- energy of formation from the pure elements (meV/atom) = 61
- size of the total moment (μB/f.u.) = 1.83
- calculated total energy (eV/f.u.) = -23.8

The structure in CIF format:
```
data_CoRh2
_chemical_formula_sum 'Co2 Rh4'
_symmetry_space_group_name_H-M 'P m m m'
_symmetry_Int_Tables_number 47
_symmetry_space_group_name_Hall '-P 2 2'
_cell_length_a 2.630
_cell_length_b 3.637
_cell_length_c 7.854
_cell_angle_alpha 90.00
_cell_angle_beta 90.00
_cell_angle_gamma 90.00
loop_
_atom_site_label
_atom_site_type_symbol
_atom_site_fract_x
_atom_site_fract_y
_atom_site_fract_z
Co1 Co 0.000 0.000 0.161
Rh1 Rh 0.000 0.000 0.500
Rh2 Rh 0.500 0.500 0.000
Rh3 Rh 0.500 0.500 0.325
```

---

No. 6
Computed, not measured: crystalline ZrScAl2 at its relaxed geometry at the PBEsol level of DFT.

Output
- energy of formation from the pure elements (meV/atom) = -365
- polymorph energy (0 for the lowest one) (meV per atom) = 80
- size of the total moment (μB/f.u.) = 0.00
- calculated total energy (eV/f.u.) = -25.3

The structure in CIF format:
```
data_ZrScAl2
_chemical_formula_sum 'Zr4 Sc4 Al8'
_symmetry_space_group_name_H-M 'F m -3 m'
_symmetry_Int_Tables_number 225
_symmetry_space_group_name_Hall '-F 4 2 3'
_cell_length_a 6.687
_cell_length_b 6.687
_cell_length_c 6.687
_cell_angle_alpha 90.00
_cell_angle_beta 90.00
_cell_angle_gamma 90.00
loop_
_atom_site_label
_atom_site_type_symbol
_atom_site_fract_x
_atom_site_fract_y
_atom_site_fract_z
Zr1 Zr 0.000 0.000 0.000
Sc1 Sc 0.000 0.000 0.500
Al1 Al 0.250 0.250 0.250
```

---

No. 7
Computed, not measured: crystalline KRe2Tc at its relaxed geometry at the PBEsol level of DFT.

Output
- energy of formation from the pure elements (meV/atom) = 955
- polymorph energy (0 for the lowest one) (meV per atom) = 0
- size of the total moment (μB/f.u.) = 0.00
- calculated total energy (eV/f.u.) = -35.2

The structure in CIF format:
```
data_KRe2Tc
_chemical_formula_sum 'K1 Re2 Tc1'
_symmetry_space_group_name_H-M 'P m m m'
_symmetry_Int_Tables_number 47
_symmetry_space_group_name_Hall '-P 2 2'
_cell_length_a 2.669
_cell_length_b 3.858
_cell_length_c 8.086
_cell_angle_alpha 90.00
_cell_angle_beta 90.00
_cell_angle_gamma 90.00
loop_
_atom_site_label
_atom_site_type_symbol
_atom_site_fract_x
_atom_site_fract_y
_atom_site_fract_z
K1 K 0.000 0.000 0.000
Re1 Re 0.500 0.500 0.347
Tc1 Tc 0.000 0.000 0.500
```

---

No. 8
Computed, not measured: crystalline Ba4CaCu2CO9 at its relaxed geometry at the PBEsol level of DFT.

Output
- size of the total moment (μB/f.u.) = 0.00
- ΔE_f (raw) (eV per atom) = -2.104
- calculated total energy (eV/f.u.) = -112.1

The structure in CIF format:
```
data_Ba4CaCu2CO9
_chemical_formula_sum 'Ba8 Ca2 Cu4 C2 O18'
_symmetry_space_group_name_H-M 'A m m 2'
_symmetry_Int_Tables_number 38
_symmetry_space_group_name_Hall 'A 2 -2'
_cell_length_a 8.157
_cell_length_b 8.003
_cell_length_c 8.237
_cell_angle_alpha 90.00
_cell_angle_beta 90.00
_cell_angle_gamma 90.00
loop_
_atom_site_label
_atom_site_type_symbol
_atom_site_fract_x
_atom_site_fract_y
_atom_site_fract_z
Ba1 Ba 0.234 0.248 0.000
Ca1 Ca 0.000 0.000 0.254
Cu1 Cu 0.000 0.000 0.751
Cu2 Cu 0.500 0.000 0.266
C1 C 0.500 0.000 0.776
O1 O 0.000 0.000 0.528
O2 O 0.000 0.000 0.975
O3 O 0.000 0.226 0.751
O4 O 0.281 0.000 0.263
O5 O 0.361 0.000 0.700
O6 O 0.500 0.000 0.935
```

---

What is the formula in the sixth record? ZrScAl2

---

Which value of calculated total energy does entry 3 give? -22.3 eV/f.u.

---

Repeat the seventh record exactly.
Computed, not measured: crystalline KRe2Tc at its relaxed geometry at the PBEsol level of DFT.

Output
- energy of formation from the pure elements (meV/atom) = 955
- polymorph energy (0 for the lowest one) (meV per atom) = 0
- size of the total moment (μB/f.u.) = 0.00
- calculated total energy (eV/f.u.) = -35.2

The structure in CIF format:
```
data_KRe2Tc
_chemical_formula_sum 'K1 Re2 Tc1'
_symmetry_space_group_name_H-M 'P m m m'
_symmetry_Int_Tables_number 47
_symmetry_space_group_name_Hall '-P 2 2'
_cell_length_a 2.669
_cell_length_b 3.858
_cell_length_c 8.086
_cell_angle_alpha 90.00
_cell_angle_beta 90.00
_cell_angle_gamma 90.00
loop_
_atom_site_label
_atom_site_type_symbol
_atom_site_fract_x
_atom_site_fract_y
_atom_site_fract_z
K1 K 0.000 0.000 0.000
Re1 Re 0.500 0.500 0.347
Tc1 Tc 0.000 0.000 0.500
```